[1]
Density functional theory data (GGA-PBEsol) for a relaxed structure of BeCuTc2Sn.

The structure in POSCAR format:
```
BeCuTc2Sn
1.0
4.225 0.000 0.000
0.000 4.225 0.000
0.000 0.000 3.931
Be Cu Tc Sn
1 1 2 1
direct
0.000 0.000 0.000
0.000 0.000 0.500
0.000 0.500 0.000
0.500 0.000 0.000
0.500 0.500 0.500
```

Computed properties:
Formation energy from the elements   0.50 eV/atom
Space group   P4/mmm, No. 123
DOS(E_F)   5.10 states/eV per cell

[2]
Density functional theory data (GGA-PBEsol) for a relaxed structure of Tc2SnGe2.

The structure in POSCAR format:
```
Tc2SnGe2
1.0
-1.767 1.767 6.492
1.767 -1.767 6.492
1.767 1.767 -6.492
Tc Sn Ge
2 1 2
direct
0.110 0.110 0.000
0.890 0.890 0.000
0.500 0.500 0.000
0.250 0.750 0.500
0.750 0.250 0.500
```

Computed properties:
Formation energy from the elements   -0.01 eV/atom
Space group   I4/mmm, No. 139
DOS(E_F)   2.51 states/eV per cell

[3]
Density functional theory data (GGA-PBEsol) for a relaxed structure of LiNdGe2.

The structure in POSCAR format:
```
LiNdGe2
1.0
7.704 0.000 0.000
0.000 3.925 0.000
0.000 0.000 10.560
Li Nd Ge
4 4 8
direct
0.011 0.250 0.109
0.489 0.750 0.609
0.511 0.250 0.391
0.989 0.750 0.891
0.140 0.750 0.365
0.360 0.250 0.865
0.640 0.750 0.135
0.860 0.250 0.635
0.155 0.750 0.685
0.225 0.750 0.066
0.275 0.250 0.566
0.345 0.250 0.185
0.655 0.750 0.815
0.725 0.750 0.434
0.775 0.250 0.934
0.845 0.250 0.315
```

Computed properties:
Formation energy from the elements   -0.71 eV/atom
Space group   Pnma, No. 62
DOS(E_F)   4.73 states/eV per cell

[4]
Density functional theory data (GGA-PBEsol) for a relaxed structure of CaTaRu2.

The structure in POSCAR format:
```
CaTaRu2
1.0
2.811 0.000 0.000
0.000 2.811 0.000
0.000 0.000 8.830
Ca Ta Ru
1 1 2
direct
0.000 0.000 0.000
0.500 0.500 0.674
0.000 0.000 0.444
0.500 0.500 0.261
```

Computed properties:
Formation energy from the elements   0.37 eV/atom
Space group   P4mm, No. 99
DOS(E_F)   3.55 states/eV per cell

formation energy from the elements of number 3 (LiNdGe2)?
-0.71 eV/atom

What is the formula in the fourth record?
CaTaRu2